1.
4
Lattice="-0.7966 -1.2729 -3.8030 3.6680 -1.7989 -0.1662 -2.3979 -5.0931 2.2069" Properties=species:S:1:pos:R:3 comment="PBE CaCr2Br, relaxed" final_energy_ev_per_atom=-5.190 total_magnetization_mub_per_fu=9.653 pbc="T T T"
Br 0.8362 -2.8092 -1.4328
Ca -0.3627 -5.3557 -0.3294
Cr -1.2016 -2.5523 1.1060
Cr -2.3952 -5.0874 2.2045

2.
4
Lattice="-0.5618 -5.3250 -2.1806 1.5537 -3.8433 4.0300 -3.8127 4.1541 -1.2778" Properties=species:S:1:pos:R:3 comment="PBE CaCr2Br, relaxed" final_energy_ev_per_atom=-5.400 total_magnetization_mub_per_fu=0.103 pbc="T T T"
Cr -0.8863 -2.0921 1.8295
Br 0.4654 -4.3014 0.8677
Cr 0.0545 -0.5039 0.1016
Ca -1.9584 -2.7010 -1.3024

3.
4
Lattice="-3.6020 -2.6503 3.2438 -5.2662 -0.5361 -1.5812 -1.9441 -4.9494 -1.4981" Properties=species:S:1:pos:R:3 comment="PBE Ca2CrBr, relaxed" final_energy_ev_per_atom=-3.811 total_magnetization_mub_per_fu=4.912 pbc="T T T"
Cr 0.0000 0.0000 0.0000
Ca -2.7031 -2.0339 0.0411
Br -5.4061 -4.0679 0.0822
Ca -8.1092 -6.1018 0.1233

Question: Number 1 is which compound?
Answer: CaCr2Br